Record 1
This record from Alexandria describes a geometry-optimized SiIr2Au structure. The functional is PBE.

```
SiIr2Au
1.0
-2.1150 -0.0084 1.8129
1.2779 -4.4494 1.4701
2.7025 1.8207 3.1614
Au Ir Si
1 2 1
Cartesian
1.9902 -1.3143 2.3157 Au
0.0000 0.0000 0.0000 Ir
-0.4186 -2.2289 1.6415 Ir
0.2938 0.9061 2.4871 Si
```

Values from the calculation:
The volume is 15.36 Å³ per atom. The value obtained for the size of the total moment is 0.0 μB per formula unit. The value obtained for the uncorrected formation energy is 0.242 eV/atom.

=====

Record 2
This record from Alexandria describes a geometry-optimized MgGaAgO structure. The functional is PBE.

```
MgGaAgO
1.0
3.2218 0.0000 0.0000
-1.6109 2.7902 0.0000
0.0000 0.0000 22.7786
Ga Ag Mg O
3 3 3 3
Cartesian
0.0000 1.8601 8.1260 Ga
0.0000 0.0000 15.7189 Ga
1.6109 0.9301 0.5331 Ga
0.0000 0.0000 2.5900 Ag
1.6109 0.9301 10.1829 Ag
0.0000 1.8601 17.7758 Ag
0.0000 1.8601 13.0038 Mg
0.0000 0.0000 20.5967 Mg
1.6109 0.9301 5.4109 Mg
0.0000 1.8601 20.1054 O
0.0000 0.0000 4.9196 O
1.6109 0.9301 12.5125 O
```

Values from the calculation:
The volume is 17.06 Å³ per atom. The value obtained for the size of the total moment is 0.0 μB per formula unit. The value obtained for the uncorrected formation energy is -0.995 eV/atom. The energy above the most stable polymorph in this dataset is 82 meV/atom.

=====

Number 1: N(E_F) 2.56 states/eV per cell, electronic total energy -6.364 eV per atom. Number 2: N(E_F) 1.92 states/eV per cell, electronic total energy -4.103 eV per atom.